Material: NdSmY6
Method: DFT, PBE
State: relaxed

ρ: 4750 kg/m3
distance to the lowest polymorph of the same formula: 227 meV per atom
SG: No. 12
ΔE_f: 375 meV/atom

Geometry as extended XYZ:
```
8
Lattice="5.683 -0.142 -2.196 -2.362 5.610 -0.286 -0.927 0.534 9.423" Properties=species:S:1:pos:R:3 pbc="T T T"
Y 2.304 5.298 0.713
Sm 2.378 0.196 3.614
Y -0.647 3.982 7.909
Y 1.685 3.331 5.037
Y 0.709 2.671 1.905
Nd 0.000 0.000 0.000
Y 0.090 0.704 6.229
Y 3.041 2.020 -0.967
```